# 1
Computed, not measured: a relaxed CuRe2O crystal at the PBE level of DFT.

CIF file:
```
data_CuRe2O
_cell_length_a 4.0164
_cell_length_b 4.0164
_cell_length_c 14.5694
_cell_angle_alpha 90.00
_cell_angle_beta 90.00
_cell_angle_gamma 90.00
_space_group_name_H-M_alt 'I -4 2 d'
_space_group_IT_number 122
_space_group_name_Hall 'I -4 2bw'
loop_
_atom_site_label
_atom_site_fract_x
_atom_site_fract_y
_atom_site_fract_z
_atom_site_occupancy
Cu1 0.0000 0.0000 0.0000 1
Re1 0.1680 0.2500 0.6250 1
O1 0.0000 0.0000 0.5000 1
```

- Energy: -30.88 eV/f.u.
- Total magnetization: 0.000 μB/atom
- D(E_F): 0.896 states/eV/atom

# 2
Computed, not measured: a relaxed TlCu2HgMo crystal at the PBE level of DFT.

CIF file:
```
data_TlCu2HgMo
_cell_length_a 4.8899
_cell_length_b 4.8899
_cell_length_c 5.5375
_cell_angle_alpha 90.00
_cell_angle_beta 90.00
_cell_angle_gamma 90.00
_space_group_name_H-M_alt 'P 4/m m m'
_space_group_IT_number 123
_space_group_name_Hall '-P 4 2'
loop_
_atom_site_label
_atom_site_fract_x
_atom_site_fract_y
_atom_site_fract_z
_atom_site_occupancy
Tl1 0.0000 0.0000 0.0000 1
Cu1 0.0000 0.5000 0.0000 1
Hg1 0.0000 0.0000 0.5000 1
Mo1 0.5000 0.5000 0.5000 1
```

- Energy: -14.18 eV/f.u.
- Total magnetization: 0.894 μB/atom
- Formation energy from the elements: 1.50 eV/atom
- D(E_F): 0.555 states/eV/atom

# 3
Computed, not measured: a relaxed BePt2 crystal at the PBE level of DFT.

CIF file:
```
data_BePt2
_cell_length_a 5.5438
_cell_length_b 5.5438
_cell_length_c 2.8043
_cell_angle_alpha 90.00
_cell_angle_beta 90.00
_cell_angle_gamma 90.00
_space_group_name_H-M_alt 'P 42/m n m'
_space_group_IT_number 136
_space_group_name_Hall '-P 4n 2n'
loop_
_atom_site_label
_atom_site_fract_x
_atom_site_fract_y
_atom_site_fract_z
_atom_site_occupancy
Be1 0.0000 0.0000 0.0000 1
Pt1 0.2215 0.2215 0.5000 1
```

- Energy: -16.22 eV/f.u.
- Total magnetization: 0.000 μB/atom
- Formation energy from the elements: -0.14 eV/atom
- D(E_F): 0.314 states/eV/atom

# 4
Computed, not measured: a relaxed SrTl4Cr crystal at the PBE level of DFT.

CIF file:
```
data_SrTl4Cr
_cell_length_a 9.0381
_cell_length_b 9.0381
_cell_length_c 9.0381
_cell_angle_alpha 90.00
_cell_angle_beta 90.00
_cell_angle_gamma 90.00
_space_group_name_H-M_alt 'F -4 3 m'
_space_group_IT_number 216
_space_group_name_Hall 'F -4 2 3'
loop_
_atom_site_label
_atom_site_fract_x
_atom_site_fract_y
_atom_site_fract_z
_atom_site_occupancy
Sr1 0.0000 0.0000 0.0000 1
Tl1 0.1244 0.1244 0.6244 1
Cr1 0.2500 0.2500 0.2500 1
```

- Energy: -19.18 eV/f.u.
- Total magnetization: 0.761 μB/atom
- Formation energy from the elements: 0.26 eV/atom
- D(E_F): 0.693 states/eV/atom

# 5
Computed, not measured: a relaxed CdGaPdAu crystal at the PBE level of DFT.

CIF file:
```
data_CdGaPdAu
_cell_length_a 6.5210
_cell_length_b 6.5210
_cell_length_c 6.5210
_cell_angle_alpha 90.00
_cell_angle_beta 90.00
_cell_angle_gamma 90.00
_space_group_name_H-M_alt 'F -4 3 m'
_space_group_IT_number 216
_space_group_name_Hall 'F -4 2 3'
loop_
_atom_site_label
_atom_site_fract_x
_atom_site_fract_y
_atom_site_fract_z
_atom_site_occupancy
Cd1 0.0000 0.0000 0.0000 1
Ga1 0.0000 0.0000 0.5000 1
Pd1 0.2500 0.2500 0.7500 1
Au1 0.2500 0.2500 0.2500 1
```

- Energy: -13.48 eV/f.u.
- Total magnetization: 0.000 μB/atom
- Formation energy from the elements: -0.27 eV/atom
- D(E_F): 0.504 states/eV/atom

# 6
Computed, not measured: a relaxed BeB2As crystal at the PBE level of DFT.

CIF file:
```
data_BeB2As
_cell_length_a 5.4711
_cell_length_b 5.4711
_cell_length_c 5.4711
_cell_angle_alpha 90.00
_cell_angle_beta 90.00
_cell_angle_gamma 90.00
_space_group_name_H-M_alt 'F m -3 m'
_space_group_IT_number 225
_space_group_name_Hall '-F 4 2 3'
loop_
_atom_site_label
_atom_site_fract_x
_atom_site_fract_y
_atom_site_fract_z
_atom_site_occupancy
Be1 0.0000 0.0000 0.0000 1
B1 0.2500 0.2500 0.2500 1
As1 0.0000 0.0000 0.5000 1
```

- Energy: -16.02 eV/f.u.
- Total magnetization: 0.000 μB/atom
- Formation energy from the elements: 1.43 eV/atom
- D(E_F): 0.297 states/eV/atom

# 7
Computed, not measured: a relaxed Tb5TlRu crystal at the PBE level of DFT.

CIF file:
```
data_Tb5TlRu
_cell_length_a 9.4096
_cell_length_b 7.5033
_cell_length_c 11.8155
_cell_angle_alpha 90.00
_cell_angle_beta 106.80
_cell_angle_gamma 90.00
_space_group_name_H-M_alt 'C 1 2/c 1'
_space_group_IT_number 15
_space_group_name_Hall '-C 2yc'
loop_
_atom_site_label
_atom_site_fract_x
_atom_site_fract_y
_atom_site_fract_z
_atom_site_occupancy
Tb1 0.0000 0.0025 0.2500 1
Tb2 0.1222 0.3294 0.0610 1
Tb3 0.2477 0.1658 0.6240 1
Tl1 0.0000 0.4075 0.7500 1
Ru1 0.0000 0.0000 0.0000 1
```

- Energy: -35.76 eV/f.u.
- Total magnetization: 0.000 μB/atom
- Formation energy from the elements: -0.14 eV/atom
- D(E_F): 0.965 states/eV/atom

# 8
Computed, not measured: a relaxed Na2CaTl8 crystal at the PBE level of DFT.

CIF file:
```
data_Na2CaTl8
_cell_length_a 8.9693
_cell_length_b 16.4236
_cell_length_c 6.0998
_cell_angle_alpha 90.00
_cell_angle_beta 131.28
_cell_angle_gamma 90.00
_space_group_name_H-M_alt 'C 1 2/m 1'
_space_group_IT_number 12
_space_group_name_Hall '-C 2y'
loop_
_atom_site_label
_atom_site_fract_x
_atom_site_fract_y
_atom_site_fract_z
_atom_site_occupancy
Na1 0.0000 0.1831 0.0000 1
Ca1 0.0000 0.5000 0.5000 1
Tl1 0.0000 0.2951 0.5000 1
Tl2 0.0660 0.0000 0.8239 1
Tl3 0.2290 0.3698 0.2847 1
```

- Energy: -24.36 eV/f.u.
- Total magnetization: 0.000 μB/atom
- Formation energy from the elements: -0.07 eV/atom
- D(E_F): 0.495 states/eV/atom

# 9
Computed, not measured: a relaxed Mg2BC crystal at the PBE level of DFT.

CIF file:
```
data_Mg2BC
_cell_length_a 5.1867
_cell_length_b 3.1695
_cell_length_c 6.7688
_cell_angle_alpha 90.00
_cell_angle_beta 106.15
_cell_angle_gamma 90.00
_space_group_name_H-M_alt 'P 1 m 1'
_space_group_IT_number 6
_space_group_name_Hall 'P -2y'
loop_
_atom_site_label
_atom_site_fract_x
_atom_site_fract_y
_atom_site_fract_z
_atom_site_occupancy
Mg1 0.0000 0.0000 0.0000 1
Mg2 0.0233 0.0000 0.4660 1
Mg3 0.5343 0.5000 0.1127 1
Mg4 0.6026 0.5000 0.6438 1
B1 0.2067 0.5000 0.7692 1
B2 0.3207 0.0000 0.8035 1
C1 0.3335 0.0000 0.2837 1
C2 0.5866 0.0000 0.3916 1
```

- Energy: -18.14 eV/f.u.
- Total magnetization: 0.000 μB/atom
- Formation energy from the elements: 0.24 eV/atom
- D(E_F): 0.207 states/eV/atom

# 10
Computed, not measured: a relaxed AlFeBi3 crystal at the PBE level of DFT.

CIF file:
```
data_AlFeBi3
_cell_length_a 5.1953
_cell_length_b 5.1953
_cell_length_c 5.1953
_cell_angle_alpha 90.00
_cell_angle_beta 90.00
_cell_angle_gamma 90.00
_space_group_name_H-M_alt 'P m -3 m'
_space_group_IT_number 221
_space_group_name_Hall '-P 4 2 3'
loop_
_atom_site_label
_atom_site_fract_x
_atom_site_fract_y
_atom_site_fract_z
_atom_site_occupancy
Al1 0.0000 0.0000 0.0000 1
Fe1 0.5000 0.5000 0.5000 1
Bi1 0.0000 0.5000 0.5000 1
```

- Energy: -21.00 eV/f.u.
- Total magnetization: 0.337 μB/atom
- Formation energy from the elements: 0.57 eV/atom
- D(E_F): 0.743 states/eV/atom

# 11
Computed, not measured: a relaxed ScZn2Fe crystal at the PBE level of DFT.

CIF file:
```
data_ScZn2Fe
_cell_length_a 3.8976
_cell_length_b 3.8976
_cell_length_c 4.0973
_cell_angle_alpha 90.00
_cell_angle_beta 90.00
_cell_angle_gamma 90.00
_space_group_name_H-M_alt 'P 4/m m m'
_space_group_IT_number 123
_space_group_name_Hall '-P 4 2'
loop_
_atom_site_label
_atom_site_fract_x
_atom_site_fract_y
_atom_site_fract_z
_atom_site_occupancy
Sc1 0.0000 0.0000 0.0000 1
Zn1 0.0000 0.5000 0.5000 1
Fe1 0.5000 0.5000 0.0000 1
```

- Energy: -17.68 eV/f.u.
- Total magnetization: 0.438 μB/atom
- Formation energy from the elements: -0.08 eV/atom
- D(E_F): 0.750 states/eV/atom

# 12
Computed, not measured: a relaxed NbV2Os crystal at the PBE level of DFT.

CIF file:
```
data_NbV2Os
_cell_length_a 4.3699
_cell_length_b 4.3699
_cell_length_c 3.0653
_cell_angle_alpha 90.00
_cell_angle_beta 90.00
_cell_angle_gamma 90.00
_space_group_name_H-M_alt 'P 4/m m m'
_space_group_IT_number 123
_space_group_name_Hall '-P 4 2'
loop_
_atom_site_label
_atom_site_fract_x
_atom_site_fract_y
_atom_site_fract_z
_atom_site_occupancy
Nb1 0.0000 0.0000 0.0000 1
V1 0.0000 0.5000 0.5000 1
Os1 0.5000 0.5000 0.0000 1
```

- Energy: -40.60 eV/f.u.
- Total magnetization: 0.000 μB/atom
- Formation energy from the elements: -0.27 eV/atom
- D(E_F): 0.400 states/eV/atom